Here is a relaxed LaGe2Pd8 crystal from the Alexandria database. Energies are from GGA-PBE.

```
data_LaGe2Pd8
_cell_length_a 5.6121
_cell_length_b 5.6121
_cell_length_c 7.2259
_cell_angle_alpha 90.00
_cell_angle_beta 90.00
_cell_angle_gamma 90.00
_space_group_name_H-M_alt 'P 4/m m m'
_space_group_IT_number 123
_space_group_name_Hall '-P 4 2'
loop_
_atom_site_label
_atom_site_type_symbol
_atom_site_fract_x
_atom_site_fract_y
_atom_site_fract_z
_atom_site_occupancy
La1 La 0.0000 0.0000 0.0000 1
Ge1 Ge 0.0000 0.5000 0.5000 1
Pd1 Pd 0.2555 0.2555 0.2877 1
```

Calculated formation energy ... -0.27 eV/atom
DFT total energy ... -5.329 eV/atom
D(E_F) ... 4.56 states/eV/f.u.